! Pr5DySc | Alexandria | PBE-GGA | optimized geometry; values from VASP
&SYSTEM
  ibrav = 0, nat = 7, ntyp = 3
/
ATOMIC_SPECIES
Pr 140.91 Pr.upf
Dy 162.50 Dy.upf
Sc 44.96 Sc.upf
ATOMIC_POSITIONS crystal
Pr 0.0000 0.0000 0.0000
Pr 0.0000 0.5000 0.2876
Pr 0.0000 0.5000 0.7124
Pr 0.5000 0.0000 0.2876
Pr 0.5000 0.0000 0.7124
Dy 0.5000 0.5000 0.0000
Sc 0.5000 0.5000 0.5000
CELL_PARAMETERS angstrom
5.4036 0.0000 0.0000
0.0000 5.4036 0.0000
0.0000 0.0000 8.5786
! D(E_F) = 10.151 states/eV per cell


! Pr8Dy2Sc3 | Alexandria | PBE-GGA | optimized geometry; values from VASP
&SYSTEM
  ibrav = 0, nat = 13, ntyp = 3
/
ATOMIC_SPECIES
Pr 140.91 Pr.upf
Dy 162.50 Dy.upf
Sc 44.96 Sc.upf
ATOMIC_POSITIONS crystal
Pr 0.0715 0.7056 0.0643
Pr 0.0918 0.0918 0.4043
Pr 0.2944 0.9285 0.9357
Pr 0.3109 0.3109 0.6762
Pr 0.6891 0.6891 0.3238
Pr 0.7056 0.0715 0.0643
Pr 0.9082 0.9082 0.5957
Pr 0.9285 0.2944 0.9357
Dy 0.3062 0.3062 0.1981
Dy 0.6938 0.6938 0.8019
Sc 0.3396 0.6604 0.5000
Sc 0.5000 0.5000 0.0000
Sc 0.6604 0.3396 0.5000
CELL_PARAMETERS angstrom
7.5344 -4.4986 0.0000
7.5344 4.4986 0.0000
-1.1687 0.0000 6.6109
! energy above the most stable polymorph in this dataset = 5.59 kJ per mole of atoms
! D(E_F) = 18.541 states/eV per cell


! PrDy3Sc3 | Alexandria | PBE-GGA | optimized geometry; values from VASP
&SYSTEM
  ibrav = 0, nat = 14, ntyp = 3
/
ATOMIC_SPECIES
Pr 140.91 Pr.upf
Dy 162.50 Dy.upf
Sc 44.96 Sc.upf
ATOMIC_POSITIONS crystal
Pr 0.1508 0.1508 0.1508
Pr 0.8492 0.8492 0.8492
Dy 0.0695 0.5660 0.2240
Dy 0.2240 0.0695 0.5660
Dy 0.4340 0.7760 0.9305
Dy 0.5660 0.2240 0.0695
Dy 0.7760 0.9305 0.4340
Dy 0.9305 0.4340 0.7760
Sc 0.2244 0.6668 0.4369
Sc 0.3332 0.5631 0.7756
Sc 0.4369 0.2244 0.6668
Sc 0.5631 0.7756 0.3332
Sc 0.6668 0.4369 0.2244
Sc 0.7756 0.3332 0.5631
CELL_PARAMETERS angstrom
4.1780 2.4122 7.0183
-4.1780 2.4122 7.0183
0.0000 -4.8243 7.0183
! energy above the most stable polymorph in this dataset = 0.00 kJ per mole of atoms
! D(E_F) = 24.350 states/eV per cell


Per-record V, Å³ per cell: 250.5; 448.1; 424.4
Per-record M_tot, μB per formula unit: 0.0; 0.0; 0.0
Per-record DFT formation energy, meV/atom: 237; 236; 184